1.
Computed, not measured: a relaxed structure of TaOs2F at the PBE-GGA level of DFT.

The structure in POSCAR format:
```
TaOs2F
1.0
6.9133 0.0000 0.0000
0.0000 6.9133 0.0000
3.4566 3.4566 2.4837
F Os Ta
2 4 2
Cartesian
3.4566 3.4566 0.0000
3.4566 6.9133 1.2419
4.9089 1.7283 0.6209
2.0044 5.1850 0.6209
5.1850 5.4611 1.8628
8.6416 8.3655 1.8628
0.0000 0.0000 0.0000
6.9133 3.4566 1.2419
```

**E_tot**: -8.6713 eV per atom
**Density of states at the Fermi level**: 1.885 states/eV per cell
**Space group**: I-42d, No. 122

2.
Computed, not measured: a relaxed structure of TaOs2F at the PBE-GGA level of DFT.

The structure in POSCAR format:
```
TaOs2F
1.0
0.0000 3.0952 3.0952
3.0952 0.0000 3.0952
3.0952 3.0952 0.0000
F Os Ta
1 2 1
Cartesian
0.0000 0.0000 0.0000
1.5476 1.5476 1.5476
4.6428 4.6428 4.6428
3.0952 3.0952 3.0952
```

**E_tot**: -8.7099 eV per atom
**Density of states at the Fermi level**: 4.806 states/eV per cell
**Space group**: Fm-3m, No. 225

3.
Computed, not measured: a relaxed structure of Ta3OsF at the PBE-GGA level of DFT.

The structure in POSCAR format:
```
Ta3OsF
1.0
4.8732 0.0000 0.0000
0.0000 4.8732 0.0000
0.0000 0.0000 4.8732
F Os Ta
1 1 3
Cartesian
2.4366 2.4366 2.4366
0.0000 0.0000 0.0000
0.0000 2.4366 0.0000
0.0000 0.0000 2.4366
2.4366 0.0000 0.0000
```

**E_tot**: -8.6283 eV per atom
**Density of states at the Fermi level**: 2.877 states/eV per cell
**Space group**: Pm-3m, No. 221

4.
Computed, not measured: a relaxed structure of Ta3OsF at the PBE-GGA level of DFT.

The structure in POSCAR format:
```
Ta3OsF
1.0
-3.4187 1.5640 2.0110
-0.5331 -3.7302 1.9947
2.4912 1.3480 3.1866
F Os Ta
1 1 3
Cartesian
0.0000 0.0000 0.0000
-0.7303 -0.4091 3.5962
-0.2666 -1.8651 0.9973
1.2456 0.6740 1.5933
-1.7093 0.7820 1.0055
```

**E_tot**: -9.5228 eV per atom
**Density of states at the Fermi level**: 4.626 states/eV per cell
**Space group**: Pm-3m, No. 221

5.
Computed, not measured: a relaxed structure of Ta2TcOsF at the PBE-GGA level of DFT.

The structure in POSCAR format:
```
Ta2TcOsF
1.0
-0.4624 3.4185 -3.3885
-1.5010 -3.1863 -3.0097
-4.5512 0.7974 1.4256
F Os Tc Ta
1 1 1 2
Cartesian
-3.2573 0.5148 -2.4863
-0.7505 -1.5931 -1.5049
0.0000 0.0000 0.0000
-2.2756 0.3987 0.7128
-0.2312 1.7093 -1.6942
```

**E_tot**: -8.0422 eV per atom
**Density of states at the Fermi level**: 5.318 states/eV per cell
**Space group**: P4/mmm, No. 123

6.
Computed, not measured: a relaxed structure of TcOsF2 at the PBE-GGA level of DFT.

The structure in POSCAR format:
```
TcOsF2
1.0
-9.4688 0.2762 3.6775
-8.2652 -0.5327 5.8874
-8.4071 2.0468 5.3281
Os Tc F
1 1 2
Cartesian
-13.0706 0.8951 7.4465
0.0000 0.0000 0.0000
-24.5034 1.6781 13.9599
-1.6377 0.1122 0.9330
```

**E_tot**: -6.6610 eV per atom
**Density of states at the Fermi level**: 2.799 states/eV per cell
**Space group**: R-3m, No. 166

What did the sixth record say?
Computed, not measured: a relaxed structure of TcOsF2 at the PBE-GGA level of DFT.

The structure in POSCAR format:
```
TcOsF2
1.0
-9.4688 0.2762 3.6775
-8.2652 -0.5327 5.8874
-8.4071 2.0468 5.3281
Os Tc F
1 1 2
Cartesian
-13.0706 0.8951 7.4465
0.0000 0.0000 0.0000
-24.5034 1.6781 13.9599
-1.6377 0.1122 0.9330
```

**E_tot**: -6.6610 eV per atom
**Density of states at the Fermi level**: 2.799 states/eV per cell
**Space group**: R-3m, No. 166

Which of these has the lowest density of states at the Fermi level? number 1

What is the density of states at the Fermi level in the first record? 1.885 states/eV per cell